1.
RbCrCl4, relaxed, DFT PBE; formation energy from raw total energies = -8.1 eV/f.u.; offset from the most stable computed form = 0.000 eV per atom
1.0
6.3518 0.0000 0.0000
-0.0007 6.3870 0.0000
-3.1554 -2.8717 7.8486
Rb Cr Cl
2 2 8
direct
0.2271 0.2510 0.0018 Rb
0.7729 0.7490 0.9982 Rb
0.0000 0.5000 0.5000 Cr
0.5000 0.0000 0.5000 Cr
0.1450 0.7928 0.4375 Cl
0.2134 0.6554 0.7907 Cl
0.2932 0.2931 0.4380 Cl
0.4249 0.8451 0.2094 Cl
0.5751 0.1549 0.7906 Cl
0.7068 0.7069 0.5620 Cl
0.7866 0.3446 0.2093 Cl
0.8550 0.2072 0.5625 Cl

---

2.
Rb4CrCl6, relaxed, DFT PBE; formation energy from raw total energies = -18.2 eV/f.u.
1.0
8.9612 0.0000 0.0000
0.0000 8.9612 0.0000
0.0000 0.0000 9.1735
Rb Cr Cl
8 2 12
direct
0.1687 0.3313 0.2500 Rb
0.1687 0.3313 0.7500 Rb
0.3313 0.8313 0.2500 Rb
0.3313 0.8313 0.7500 Rb
0.6687 0.1687 0.2500 Rb
0.6687 0.1687 0.7500 Rb
0.8313 0.6687 0.2500 Rb
0.8313 0.6687 0.7500 Rb
0.0000 0.0000 0.0000 Cr
0.5000 0.5000 0.5000 Cr
0.0000 0.0000 0.2604 Cl
0.0000 0.0000 0.7396 Cl
0.0933 0.7149 0.0000 Cl
0.2149 0.5933 0.5000 Cl
0.2851 0.0933 0.0000 Cl
0.4067 0.2149 0.5000 Cl
0.5000 0.5000 0.2396 Cl
0.5000 0.5000 0.7604 Cl
0.5933 0.7851 0.5000 Cl
0.7149 0.9067 0.0000 Cl
0.7851 0.4067 0.5000 Cl
0.9067 0.2851 0.0000 Cl

---

3.
RbCr2Cl, relaxed, DFT PBE; formation energy from raw total energies = 4.1 eV/f.u.; offset from the most stable computed form = 0.353 eV per atom
1.0
0.0000 3.9713 3.9713
3.9713 0.0000 3.9713
3.9713 3.9713 0.0000
Rb Cr Cl
1 2 1
direct
0.0000 0.0000 0.0000 Rb
0.2500 0.2500 0.2500 Cr
0.7500 0.7500 0.7500 Cr
0.5000 0.5000 0.5000 Cl

---

4.
RbCrCl6, relaxed, DFT PBE; formation energy from raw total energies = -7.9 eV/f.u.; offset from the most stable computed form = 0.000 eV per atom
1.0
5.9075 0.0000 0.0000
-1.8672 6.2333 0.0000
-1.8538 -1.2445 6.1135
Rb Cr Cl
1 1 6
direct
0.0000 0.0000 0.0000 Rb
0.0000 0.5000 0.5000 Cr
0.1925 0.2480 0.5783 Cl
0.1924 0.5779 0.2476 Cl
0.3316 0.7627 0.7615 Cl
0.6684 0.2373 0.2385 Cl
0.8076 0.4221 0.7524 Cl
0.8075 0.7520 0.4217 Cl

---

5.
Rb3CrCl, relaxed, DFT PBE; formation energy from raw total energies = -0.9 eV/f.u.; offset from the most stable computed form = 0.000 eV per atom
1.0
6.4012 0.0000 0.0000
0.0000 6.4012 0.0000
0.0000 0.0000 6.4012
Rb Cr Cl
3 1 1
direct
0.0000 0.0000 0.5000 Rb
0.0000 0.5000 0.0000 Rb
0.5000 0.0000 0.0000 Rb
0.5000 0.5000 0.5000 Cr
0.0000 0.0000 0.0000 Cl

---

6.
RbCrCl2, relaxed, DFT PBE; formation energy from raw total energies = -2.8 eV/f.u.; offset from the most stable computed form = 0.294 eV per atom
1.0
0.0000 3.7139 3.7139
3.7139 0.0000 3.7139
3.7139 3.7139 0.0000
Rb Cr Cl
1 1 2
direct
0.0000 0.0000 0.0000 Rb
0.5000 0.5000 0.5000 Cr
0.2500 0.2500 0.2500 Cl
0.7500 0.7500 0.7500 Cl

---

7.
Rb2Cr2Cl5, relaxed, DFT PBE; formation energy from raw total energies = -10.9 eV/f.u.
1.0
6.9298 -2.5488 0.0000
6.9298 2.5488 0.0000
-2.5863 0.0000 7.5598
Rb Cr Cl
2 2 5
direct
0.1019 0.1019 0.3086 Rb
0.8981 0.8981 0.6914 Rb
0.3518 0.3518 0.1189 Cr
0.6482 0.6482 0.8811 Cr
0.1621 0.1621 0.9085 Cl
0.3502 0.3502 0.4193 Cl
0.5000 0.5000 0.0000 Cl
0.6498 0.6498 0.5807 Cl
0.8379 0.8379 0.0915 Cl

---

8.
Rb2CrCl5, relaxed, DFT PBE; formation energy from raw total energies = -12.4 eV/f.u.; offset from the most stable computed form = 0.000 eV per atom
1.0
9.0928 0.0000 0.0000
0.0000 6.9900 0.0000
0.0000 0.0000 14.4986
Rb Cr Cl
8 4 20
direct
0.0323 0.2500 0.2046 Rb
0.1699 0.7500 0.4168 Rb
0.3301 0.2500 0.9168 Rb
0.4677 0.7500 0.7046 Rb
0.5323 0.2500 0.2954 Rb
0.6699 0.7500 0.0832 Rb
0.8301 0.2500 0.5832 Rb
0.9677 0.7500 0.7954 Rb
0.1731 0.7500 0.0604 Cr
0.3269 0.2500 0.5604 Cr
0.6731 0.7500 0.4396 Cr
0.8269 0.2500 0.9396 Cr
0.0000 0.0000 0.0000 Cl
0.0000 0.5000 0.0000 Cl
0.0364 0.7500 0.1960 Cl
0.1740 0.0120 0.6132 Cl
0.1740 0.4880 0.6132 Cl
0.2122 0.2500 0.4124 Cl
0.2878 0.7500 0.9124 Cl
0.3260 0.5120 0.1132 Cl
0.3260 0.9880 0.1132 Cl
0.4636 0.2500 0.6960 Cl
0.5000 0.0000 0.5000 Cl
0.5000 0.5000 0.5000 Cl
0.5364 0.7500 0.3040 Cl
0.6740 0.0120 0.8868 Cl
0.6740 0.4880 0.8868 Cl
0.7122 0.2500 0.0876 Cl
0.7878 0.7500 0.5876 Cl
0.8260 0.5120 0.3868 Cl
0.8260 0.9880 0.3868 Cl
0.9636 0.2500 0.8040 Cl

---

9.
RbCr2Cl8, relaxed, DFT PBE; formation energy from raw total energies = -12.1 eV/f.u.
1.0
6.7984 0.0000 0.0000
1.3429 7.4698 0.0000
1.0667 2.1606 7.5851
Rb Cr Cl
1 2 8
direct
0.0000 0.0000 0.0000 Rb
0.2131 0.3169 0.3036 Cr
0.7869 0.6831 0.6964 Cr
0.0922 0.6845 0.7446 Cl
0.2676 0.2026 0.5776 Cl
0.2876 0.5945 0.2470 Cl
0.3788 0.1523 0.1326 Cl
0.6212 0.8477 0.8674 Cl
0.7124 0.4055 0.7530 Cl
0.7324 0.7974 0.4224 Cl
0.9078 0.3155 0.2554 Cl

---

10.
RbCr3Cl, relaxed, DFT PBE; formation energy from raw total energies = 10.4 eV/f.u.; offset from the most stable computed form = 0.884 eV per atom
1.0
6.2207 0.0000 0.0000
0.0000 6.2207 0.0000
0.0000 0.0000 6.2207
Rb Cr Cl
1 3 1
direct
0.0000 0.0000 0.0000 Rb
0.0000 0.0000 0.5000 Cr
0.0000 0.5000 0.0000 Cr
0.5000 0.0000 0.0000 Cr
0.5000 0.5000 0.5000 Cl